{"formula": "K2AcFe2O6", "functional": "GGA+U", "state": "optimized geometry", "lattice_angstrom": [[3.111, 1.796, 6.364], [-3.111, 1.796, 6.364], [0.000, -3.592, 6.364]], "species": ["K", "K", "Ac", "Fe", "Fe", "O", "O", "O", "O", "O", "O"], "frac_coords": [[0.203, 0.203, 0.203], [0.797, 0.797, 0.797], [0.000, 0.000, 0.000], [0.430, 0.430, 0.430], [0.570, 0.570, 0.570], [0.254, 0.743, 0.743], [0.257, 0.257, 0.746], [0.257, 0.746, 0.257], [0.743, 0.254, 0.743], [0.743, 0.743, 0.254], [0.746, 0.257, 0.257]], "volume_a3_per_atom": 19.39, "dos_at_fermi_per_ev_cell": 6.5, "total_energy_ev_per_atom": -5.95}